20
Lattice="-1.8756 -4.3773 -1.1822 1.9270 -1.9276 4.0801 -20.5130 5.4744 12.2742" Properties=species:S:1:pos:R:3 comment="Na4AcTl15 PBE-GGA relaxed" formation_energy_ev_per_atom=-0.107 spacegroup="P4/mmm, No. 123" pbc="T T T"
Tl -19.2968 2.7109 10.3943
Tl -11.1943 0.5486 5.5460
Tl -5.2324 0.6897 5.7474
Tl -3.0917 -1.6138 0.6978
Tl -1.1905 -0.3889 3.3289
Tl -7.1336 -0.5351 3.1163
Tl -15.2549 1.6323 7.9758
Tl -12.2400 0.1210 8.7883
Tl -9.2930 1.7734 8.1772
Tl -17.3955 3.9358 13.0254
Tl -8.2216 -0.9514 6.3838
Tl 0.0257 -3.1524 1.4490
Tl -4.0831 -2.0559 3.9075
Tl -16.3784 1.2254 11.2646
Tl -13.3536 2.8571 10.6069
Ac 0.0000 0.0000 0.0000
Na -16.3927 4.3748 9.8088
Na -4.1202 1.0996 2.4654
Na -8.2196 2.1936 4.9183
Na -12.2933 3.2808 7.3559